# 1
Density functional theory data (PBE-GGA) for Mg2SiTc after structural relaxation.

Calculated values
Energy relative to the elements, uncorrected   0.48 eV/atom
DFT total energy   -34.14 eV for the cell shown
Total moment   0.2415 μB/atom

a = 7.4851 Å, b = 7.4851 Å, c = 5.8672 Å
α = 50.37°, β = 50.37°, γ = 90.00°
Last column: nearest neighbours and their distance in Å.
Positions (direct):
Mg 0.1379 0.6250 0.2500  2 Mg 2.54, 2 Si 2.66, 2 Tc 2.79
Mg 0.8750 0.8621 0.7500  2 Mg 2.54, 2 Si 2.66, 2 Tc 2.79
Mg 0.6121 0.1250 0.2500  2 Mg 2.54, 2 Si 2.66, 2 Tc 2.79
Mg 0.3750 0.3879 0.7500  2 Mg 2.54, 2 Si 2.66, 2 Tc 2.79
Tc 0.0000 0.0000 0.0000  2 Si 2.53, 4 Mg 2.79
Tc 0.7500 0.2500 0.5000  2 Si 2.53, 4 Mg 2.79
Si 0.2500 0.7500 0.5000  2 Tc 2.53, 4 Mg 2.66
Si 0.5000 0.5000 0.0000  2 Tc 2.53, 4 Mg 2.66

# 2
Density functional theory data (PBE-GGA) for CdW2Se after structural relaxation.

Calculated values
Energy relative to the elements, uncorrected   0.91 eV/atom
DFT total energy   -26.67 eV for the cell shown
Total moment   0.0000 μB/atom
Offset from the most stable computed form   595 meV/atom

a = 5.3676 Å, b = 5.4242 Å, c = 2.8759 Å
α = 79.71°, β = 79.93°, γ = 116.64°
Last column: nearest neighbours and their distance in Å.
Positions (direct):
Cd 0.0000 0.5000 0.5000  2 Se 2.81, 4 W 2.83, 2 Cd 2.88
W 0.5000 0.0000 0.5000  4 W 2.81-2.88, 2 Cd 2.83, 2 Se 2.83
W 0.0000 0.0000 0.0000  4 W 2.81-2.88, 2 Se 2.83, 2 Cd 2.83
Se 0.5000 0.5000 0.0000  2 Cd 2.81, 4 W 2.83, 2 Se 2.88

# 3
Density functional theory data (PBE-GGA) for GePdC2F after structural relaxation.

Calculated values
Energy relative to the elements, uncorrected   1.67 eV/atom
DFT total energy   -21.77 eV for the cell shown
Total moment   0.1304 μB/atom

a = 3.7866 Å, b = 5.0773 Å, c = 3.7866 Å
α = 90.00°, β = 90.00°, γ = 90.00°
Last column: nearest neighbours and their distance in Å.
Positions (direct):
F 0.5000 0.5000 0.5000  4 Pd 2.68
C 0.5000 0.0000 0.0000  2 Ge 1.89
C 0.0000 0.0000 0.5000  2 Ge 1.89
Ge 0.0000 0.0000 0.0000  4 C 1.89
Pd 0.0000 0.5000 0.0000  2 Ge 2.54, 4 F 2.68

# 4
Density functional theory data (PBE-GGA) for ErPuFePd after structural relaxation.

Calculated values
DFT total energy   -33.37 eV for the cell shown
ΔH_f (0 K)   -206 meV per atom
Total moment   0.9750 μB/atom

a = 4.8469 Å, b = 4.8469 Å, c = 4.8469 Å
α = 60.00°, β = 60.00°, γ = 60.00°
Last column: nearest neighbours and their distance in Å.
Positions (direct):
Er 0.2500 0.2500 0.2500  4 Fe 2.97, 4 Pd 2.97
Pd 0.0000 0.0000 0.0000  4 Er 2.97, 4 Pu 2.97
Fe 0.5000 0.5000 0.5000  4 Pu 2.97, 4 Er 2.97
Pu 0.7500 0.7500 0.7500  4 Pd 2.97, 4 Fe 2.97

# 5
Density functional theory data (PBE-GGA) for SrSc2Ge after structural relaxation.

Calculated values
DFT total energy   -35.69 eV for the cell shown
ΔH_f (0 K)   279 meV per atom
Total moment   0.4801 μB/atom

a = 5.3002 Å, b = 5.3002 Å, c = 10.4157 Å
α = 75.26°, β = 75.26°, γ = 90.00°
Last column: nearest neighbours and their distance in Å.
Positions (direct):
Sc 0.8750 0.6250 0.7500  2 Sc 2.65, 2 Ge 2.77
Sc 0.3750 0.6250 0.2500  2 Sc 2.65, 2 Ge 2.77
Sc 0.3750 0.1250 0.2500  2 Sc 2.65, 2 Ge 2.77
Sc 0.3750 0.6250 0.7500  2 Sc 2.65, 2 Ge 2.77
Ge 0.2500 0.7500 0.5000  4 Sc 2.77
Ge 0.5000 0.5000 0.0000  4 Sc 2.77
Sr 0.7500 0.2500 0.5000  4 Ge 3.75, 8 Sc 3.83
Sr 0.0000 0.0000 0.0000  4 Ge 3.75, 8 Sc 3.83

# 6
Density functional theory data (PBE-GGA) for Ac2PtAu3 after structural relaxation.

Calculated values
DFT total energy   -29.39 eV for the cell shown
ΔH_f (0 K)   -883 meV per atom
Total moment   0.0000 μB/atom
Offset from the most stable computed form   0 meV/atom

a = 3.9514 Å, b = 4.9032 Å, c = 8.1265 Å
α = 90.00°, β = 90.00°, γ = 90.00°
Last column: nearest neighbours and their distance in Å.
Positions (direct):
Ac 0.0000 0.5000 0.0171  2 Pt 3.20, 10 Au 3.38-3.50
Ac 0.0000 0.0000 0.4903  8 Au 3.27-3.46, 4 Pt 3.42
Pt 0.5000 0.5000 0.3267  3 Au 2.76-2.77
Au 0.5000 0.0000 0.1700  2 Pt 2.76, 1 Au 2.78
Au 0.5000 0.0000 0.8283  3 Au 2.78
Au 0.5000 0.5000 0.6675  1 Pt 2.77, 2 Au 2.78

# 7
Density functional theory data (PBE-GGA) for DyMgSc2Zn4 after structural relaxation.

Calculated values
DFT total energy   -26.35 eV for the cell shown
ΔH_f (0 K)   -299 meV per atom
Total moment   0.0000 μB/atom

a = 4.7569 Å, b = 4.7569 Å, c = 8.4462 Å
α = 73.64°, β = 73.64°, γ = 60.00°
Last column: nearest neighbours and their distance in Å.
Positions (direct):
Zn 0.3788 0.3788 0.8634  1 Mg 2.90, 4 Sc 2.94-3.22, 3 Dy 2.96
Zn 0.8747 0.8747 0.3760  4 Sc 2.86-2.88, 3 Mg 2.92, 1 Dy 3.00
Zn 0.1253 0.1253 0.6240  4 Sc 2.86-2.88, 3 Mg 2.92, 1 Dy 3.00
Zn 0.6212 0.6212 0.1366  1 Mg 2.90, 4 Sc 2.94-3.22, 3 Dy 2.96
Dy 0.0000 0.0000 0.0000  8 Zn 2.96-3.00
Mg 0.5000 0.5000 0.5000  8 Zn 2.90-2.92
Sc 0.7554 0.7554 0.7337  7 Zn 2.86-2.94
Sc 0.2446 0.2446 0.2663  7 Zn 2.86-2.94

# 8
Density functional theory data (PBE-GGA) for ZrTaBr2 after structural relaxation.

Calculated values
Energy relative to the elements, uncorrected   0.20 eV/atom
DFT total energy   -22.95 eV for the cell shown
Total moment   0.0000 μB/atom
Offset from the most stable computed form   749 meV/atom

a = 3.0762 Å, b = 6.0361 Å, c = 4.6746 Å
α = 90.00°, β = 90.00°, γ = 90.00°
Last column: nearest neighbours and their distance in Å.
Positions (direct):
Ta 0.5000 0.0000 0.5000  4 Br 2.80, 2 Ta 3.08
Zr 0.0000 0.5000 0.5000  4 Br 2.80, 2 Zr 3.08
Br 0.0000 0.0000 0.0000  4 Ta 2.80, 2 Br 3.08
Br 0.5000 0.5000 0.0000  4 Zr 2.80, 2 Br 3.08